(1)
An optimized crystal structure of LiTmLuPt, computed with GGA-PBE.

Total energy (eV per cell): -19.89
DFT formation energy (eV/atom): -0.735
SG: F-43m, No. 216
Theoretical density (Mg/m³): 10.980
Magnetic moment (μB per formula unit): 0.0

The structure in CIF format:
```
data_LiTmLuPt
_chemical_formula_sum 'Li1 Tm1 Lu1 Pt1'
_space_group_name_H-M_alt 'P 1'
_space_group_IT_number 1
_space_group_name_Hall 'P 1'
_cell_length_a 4.8877
_cell_length_b 4.8877
_cell_length_c 4.8877
_cell_angle_alpha 60.00
_cell_angle_beta 60.00
_cell_angle_gamma 60.00
loop_
_atom_site_label
_atom_site_type_symbol
_atom_site_fract_x
_atom_site_fract_y
_atom_site_fract_z
_atom_site_occupancy
Li1 Li 0.0000 0.0000 0.0000 1
Tm1 Tm 0.7500 0.7500 0.7500 1
Lu1 Lu 0.2500 0.2500 0.2500 1
Pt1 Pt 0.5000 0.5000 0.5000 1
```

=====

(2)
An optimized crystal structure of ZrAgO2, computed with GGA-PBE.

Total energy (eV per cell): -57.47
SG: I-42d, No. 122
Theoretical density (Mg/m³): 4.436
Magnetic moment (μB per formula unit): 0.0

The structure in CIF format:
```
data_ZrAgO2
_chemical_formula_sum 'Zr2 Ag2 O4'
_space_group_name_H-M_alt 'P 1'
_space_group_IT_number 1
_space_group_name_Hall 'P 1'
_cell_length_a 6.3312
_cell_length_b 6.3312
_cell_length_c 6.3312
_cell_angle_alpha 122.22
_cell_angle_beta 122.22
_cell_angle_gamma 86.19
loop_
_atom_site_label
_atom_site_type_symbol
_atom_site_fract_x
_atom_site_fract_y
_atom_site_fract_z
_atom_site_occupancy
Zr1 Zr 0.0000 0.0000 0.0000 1
Zr2 Zr 0.7500 0.2500 0.5000 1
Ag1 Ag 0.2500 0.7500 0.5000 1
Ag2 Ag 0.5000 0.5000 0.0000 1
O1 O 0.3750 0.2075 0.3325 1
O2 O 0.7925 0.1250 0.1675 1
O3 O 0.8750 0.0425 0.6675 1
O4 O 0.9575 0.6250 0.8325 1
```

=====

(3)
An optimized crystal structure of KGdTl2, computed with GGA-PBE.

Total energy (eV per cell): -20.29
DFT formation energy (eV/atom): -0.094
Energy above the most stable polymorph in this dataset (meV per atom): 129
SG: Fm-3m, No. 225
Theoretical density (Mg/m³): 8.006
Magnetic moment (μB per formula unit): 7.0

The structure in CIF format:
```
data_KGdTl2
_chemical_formula_sum 'K1 Gd1 Tl2'
_space_group_name_H-M_alt 'P 1'
_space_group_IT_number 1
_space_group_name_Hall 'P 1'
_cell_length_a 5.6199
_cell_length_b 5.6199
_cell_length_c 5.6199
_cell_angle_alpha 60.00
_cell_angle_beta 60.00
_cell_angle_gamma 60.00
loop_
_atom_site_label
_atom_site_type_symbol
_atom_site_fract_x
_atom_site_fract_y
_atom_site_fract_z
_atom_site_occupancy
K1 K 0.0000 0.0000 0.0000 1
Gd1 Gd 0.5000 0.5000 0.5000 1
Tl1 Tl 0.2500 0.2500 0.2500 1
Tl2 Tl 0.7500 0.7500 0.7500 1
```

=====

(4)
An optimized crystal structure of HfCu2Cl, computed with GGA-PBE.

Total energy (eV per cell): -39.53
Energy above the most stable polymorph in this dataset (meV per atom): 0
SG: I-42d, No. 122
Theoretical density (Mg/m³): 8.345
Magnetic moment (μB per formula unit): 0.0

The structure in CIF format:
```
data_HfCu2Cl
_chemical_formula_sum 'Hf2 Cu4 Cl2'
_space_group_name_H-M_alt 'P 1'
_space_group_IT_number 1
_space_group_name_Hall 'P 1'
_cell_length_a 5.7775
_cell_length_b 5.7775
_cell_length_c 5.7775
_cell_angle_alpha 100.82
_cell_angle_beta 100.82
_cell_angle_gamma 128.66
loop_
_atom_site_label
_atom_site_type_symbol
_atom_site_fract_x
_atom_site_fract_y
_atom_site_fract_z
_atom_site_occupancy
Hf1 Hf 0.0000 0.0000 0.0000 1
Hf2 Hf 0.7500 0.2500 0.5000 1
Cu1 Cu 0.1379 0.6250 0.0129 1
Cu2 Cu 0.3750 0.3879 0.5129 1
Cu3 Cu 0.6121 0.1250 0.9871 1
Cu4 Cu 0.8750 0.8621 0.4871 1
Cl1 Cl 0.2500 0.7500 0.5000 1
Cl2 Cl 0.5000 0.5000 0.0000 1
```

=====

(5)
An optimized crystal structure of MgZr2Re, computed with GGA-PBE.

Total energy (eV per cell): -30.95
DFT formation energy (eV/atom): 0.047
SG: Imm2, No. 44
Theoretical density (Mg/m³): 8.116
Magnetic moment (μB per formula unit): 0.0

The structure in CIF format:
```
data_MgZr2Re
_chemical_formula_sum 'Mg1 Zr2 Re1'
_space_group_name_H-M_alt 'P 1'
_space_group_IT_number 1
_space_group_name_Hall 'P 1'
_cell_length_a 5.7498
_cell_length_b 5.7498
_cell_length_c 5.7498
_cell_angle_alpha 145.16
_cell_angle_beta 131.59
_cell_angle_gamma 61.01
loop_
_atom_site_label
_atom_site_type_symbol
_atom_site_fract_x
_atom_site_fract_y
_atom_site_fract_z
_atom_site_occupancy
Mg1 Mg 0.0000 0.0000 0.0000 1
Zr1 Zr 0.4417 0.4417 0.0000 1
Zr2 Zr 0.7197 0.2197 0.5000 1
Re1 Re 0.2306 0.7306 0.5000 1
```

=====

(6)
An optimized crystal structure of Ac5La2Sm2, computed with GGA-PBE.

Total energy (eV per cell): -38.28
DFT formation energy (eV/atom): 0.173
SG: P-1, No. 2
Theoretical density (Mg/m³): 7.526
Magnetic moment (μB per formula unit): 0.0

The structure in CIF format:
```
data_Ac5La2Sm2
_chemical_formula_sum 'Ac5 La2 Sm2'
_space_group_name_H-M_alt 'P 1'
_space_group_IT_number 1
_space_group_name_Hall 'P 1'
_cell_length_a 5.3575
_cell_length_b 6.4443
_cell_length_c 12.2918
_cell_angle_alpha 78.78
_cell_angle_beta 89.50
_cell_angle_gamma 65.66
loop_
_atom_site_label
_atom_site_type_symbol
_atom_site_fract_x
_atom_site_fract_y
_atom_site_fract_z
_atom_site_occupancy
Ac1 Ac 0.0000 0.0000 0.0000 1
Ac2 Ac 0.1724 0.6736 0.5712 1
Ac3 Ac 0.2745 0.4555 0.8892 1
Ac4 Ac 0.7255 0.5445 0.1108 1
Ac5 Ac 0.8276 0.3264 0.4288 1
La1 La 0.4467 0.0954 0.2550 1
La2 La 0.5533 0.9046 0.7450 1
Sm1 Sm 0.1390 0.7112 0.2800 1
Sm2 Sm 0.8610 0.2888 0.7200 1
```